No. 1
ScPdRh (PBE, optimized geometry); formation enthalpy at 0 K = -1.23 eV/f.u.; excess energy over the best structure of this formula in the dataset = 235 meV/atom
1.0
3.353 0.000 0.000
0.000 4.009 0.000
0.000 0.000 4.236
Sc Pd Rh
1 1 1
Direct
0.000 0.000 0.000
0.000 0.500 0.500
0.500 0.500 0.000

=====

No. 2
NaTlInSb (PBE, optimized geometry); excess energy over the best structure of this formula in the dataset = 11 meV/atom; uncorrected formation energy = -0.13 eV/atom
1.0
0.000 3.862 3.862
3.862 0.000 3.862
3.862 3.862 0.000
Na Tl In Sb
1 1 1 1
Direct
0.000 0.000 0.000
0.750 0.750 0.750
0.500 0.500 0.500
0.250 0.250 0.250

=====

No. 3
HfMgGa3 (PBE, optimized geometry); formation enthalpy at 0 K = 3.47 eV/f.u.; excess energy over the best structure of this formula in the dataset = 819 meV/atom
1.0
4.806 0.000 0.000
0.000 4.806 0.000
0.000 0.000 4.806
Hf Mg Ga
1 1 3
Direct
0.000 0.000 0.000
0.500 0.500 0.500
0.000 0.500 0.500
0.500 0.000 0.500
0.500 0.500 0.000

=====

No. 4
Ti6IrC4 (PBE, optimized geometry); formation enthalpy at 0 K = -8.67 eV/f.u.
1.0
1.539 -5.197 0.000
1.539 5.197 0.000
0.000 0.000 16.534
Ti Ir C
12 2 8
Direct
0.000 0.000 0.000
0.000 0.000 0.500
0.150 0.850 0.750
0.276 0.724 0.077
0.276 0.724 0.423
0.459 0.541 0.648
0.459 0.541 0.852
0.541 0.459 0.148
0.541 0.459 0.352
0.724 0.276 0.577
0.724 0.276 0.923
0.850 0.150 0.250
0.161 0.839 0.250
0.839 0.161 0.750
0.092 0.908 0.621
0.092 0.908 0.879
0.361 0.639 0.539
0.361 0.639 0.961
0.639 0.361 0.039
0.639 0.361 0.461
0.908 0.092 0.121
0.908 0.092 0.379

=====

No. 5
LaDy3Zn4 (PBE, optimized geometry); formation enthalpy at 0 K = -2.58 eV/f.u.
1.0
10.188 0.000 0.000
0.000 7.283 0.000
0.000 0.000 5.094
La Dy Zn
2 6 8
Direct
0.000 0.000 0.000
0.500 0.000 0.000
0.000 0.500 0.000
0.250 0.000 0.499
0.250 0.500 0.499
0.500 0.500 0.000
0.750 0.000 0.501
0.750 0.500 0.501
0.000 0.263 0.500
0.000 0.737 0.500
0.250 0.263 0.998
0.250 0.737 0.998
0.500 0.263 0.500
0.500 0.737 0.500
0.750 0.263 0.002
0.750 0.737 0.002

=====

No. 6
CrCuAs4 (PBE, optimized geometry); formation enthalpy at 0 K = 3.75 eV/f.u.
1.0
0.000 3.870 3.870
3.870 0.000 3.870
3.870 3.870 0.000
Cr Cu As
1 1 4
Direct
0.000 0.000 0.000
0.750 0.750 0.750
0.376 0.376 0.376
0.376 0.376 0.871
0.376 0.871 0.376
0.871 0.376 0.376